# 1
Here is Ge3PdI after structural relaxation from Alexandria via LeMat-Bulk. Energies are from PBE-GGA.

Cell: 4.989 4.989 4.989 Å, 90.00 90.00 90.00°
Fractional positions:
Ge: 0.000 0.000 0.500
Ge: 0.000 0.500 0.000
Ge: 0.500 0.000 0.000
Pd: 0.000 0.000 0.000
I: 0.500 0.500 0.500

Properties
E in eV/f.u.: -19.27
Fermi-level density of states in states/eV per cell: 3.924
M_tot in μB per cell: 0.000
Theoretical density in g/cm³: 6.03



# 2
Here is GePdI after structural relaxation from Alexandria via LeMat-Bulk. Energies are from PBE-GGA.

Cell: 9.961 9.961 4.323 Å, 92.84 92.84 24.49°
Fractional positions:
Ge: 0.202 0.202 0.058
Ge: 0.798 0.798 0.942
Pd: 0.288 0.288 0.635
Pd: 0.712 0.712 0.365
I: 0.088 0.088 0.683
I: 0.912 0.912 0.317

Properties
E in eV/f.u.: -11.77
Fermi-level density of states in states/eV per cell: 1.918
M_tot in μB per cell: 0.000
Theoretical density in g/cm³: 5.72



# 3
Here is Pm8Ge3PdI4 after structural relaxation from Alexandria via LeMat-Bulk. Energies are from PBE-GGA.

Cell: 9.084 9.084 9.084 Å, 57.03 57.03 57.03°
Fractional positions:
Pm: 0.234 0.234 0.234
Pm: 0.236 0.731 0.731
Pm: 0.269 0.269 0.764
Pm: 0.269 0.764 0.269
Pm: 0.731 0.236 0.731
Pm: 0.731 0.731 0.236
Pm: 0.764 0.269 0.269
Pm: 0.766 0.766 0.766
Ge: 0.000 0.000 0.500
Ge: 0.000 0.500 0.000
Ge: 0.500 0.000 0.000
Pd: 0.500 0.500 0.500
I: 0.000 0.000 0.000
I: 0.000 0.500 0.500
I: 0.500 0.000 0.500
I: 0.500 0.500 0.000

Properties
E in eV/f.u.: -78.50
Fermi-level density of states in states/eV per cell: 10.710
M_tot in μB per cell: 0.000
Theoretical density in g/cm³: 6.70



# 4
Here is ReGe2PdI after structural relaxation from Alexandria via LeMat-Bulk. Energies are from PBE-GGA.

Cell: 4.802 4.802 5.481 Å, 90.00 90.00 90.00°
Fractional positions:
Re: 0.000 0.000 0.000
Ge: 0.000 0.500 0.500
Ge: 0.500 0.000 0.500
Pd: 0.500 0.500 0.500
I: 0.500 0.500 0.000

Properties
E in eV/f.u.: -21.59
Fermi-level density of states in states/eV per cell: 3.927
M_tot in μB per cell: 3.571
Theoretical density in g/cm³: 7.42



Look up the M_tot of the second one. 0.000 μB per cell



Which formula does entry 4 have? ReGe2PdI



What is the formula in the fourth record? ReGe2PdI